# PBE+U NaNiO2, optimized geometry
data_NaNiO2
_chemical_formula_sum 'Na1 Ni1 O2'
_cell_length_a 6.4470
_cell_length_b 6.4470
_cell_length_c 6.4470
_cell_angle_alpha 27.94
_cell_angle_beta 27.94
_cell_angle_gamma 27.94
_space_group_name_H-M_alt 'P 1'
_space_group_IT_number 1
loop_
_space_group_symop_operation_xyz
'x,y,z'
loop_
_atom_site_label
_atom_site_fract_x
_atom_site_fract_y
_atom_site_fract_z
Ni1 0.0000 0.0000 0.0000
Na1 0.5000 0.5000 0.5000
O1 0.9099 0.9099 0.9099
O2 0.0901 0.0901 0.0901
# **Crystal system**: trigonal
# **Total DFT energy (no corrections)**: -3.982 eV/atom